[1]
SmTiCo2 after structural relaxation, computed with PBE.

Summary:
Its space group is P4/mmm. The value obtained for the formation energy is -0.153 eV per atom. For the volume, the calculation gives 16.2 Å³/atom. The total energy comes out at -6.8599 eV/atom.

Cell lengths 3.100, 3.100, 6.739 Å; angles 90.00, 90.00, 90.00 degrees
Fractional positions:
Sm1 0.000 0.000 0.000
Ti1 0.000 0.000 0.500
Co1 0.500 0.500 0.302
Co2 0.500 0.500 0.698

=====

[2]
ZrIn2Fe2 after structural relaxation, computed with PBE.

Summary:
Its space group is P4/mbm. The value obtained for the formation energy is 0.204 eV per atom. For the volume, the calculation gives 17.0 Å³/atom. The total energy comes out at -5.9857 eV/atom.

Cell lengths 7.138, 7.138, 3.344 Å; angles 90.00, 90.00, 90.00 degrees
Fractional positions:
Zr1 0.000 0.000 0.000
Zr2 0.500 0.500 0.000
In1 0.163 0.337 0.500
In2 0.337 0.837 0.500
In3 0.663 0.163 0.500
In4 0.837 0.663 0.500
Fe1 0.132 0.632 0.000
Fe2 0.368 0.132 0.000
Fe3 0.632 0.868 0.000
Fe4 0.868 0.368 0.000

=====

[3]
AcLa2Al2 after structural relaxation, computed with PBE.

Summary:
Its space group is Cmmm. The value obtained for the formation energy is -0.069 eV per atom. For the volume, the calculation gives 31.6 Å³/atom. The distance to the lowest polymorph of the same formula is 116 meV per atom. The total energy comes out at -4.3588 eV/atom.

Cell lengths 4.750, 4.750, 7.551 Å; angles 90.00, 90.00, 111.79 degrees
Fractional positions:
Ac1 0.000 0.000 0.000
La1 0.500 0.500 0.293
La2 0.500 0.500 0.707
Al1 0.159 0.841 0.500
Al2 0.841 0.159 0.500

=====

[4]
Pr14YHo after structural relaxation, computed with PBE.

Summary:
Its space group is P4/mmm. The value obtained for the formation energy is 0.012 eV per atom. For the volume, the calculation gives 35.7 Å³/atom. The total energy comes out at -4.8601 eV/atom.

Cell lengths 7.388, 7.388, 10.454 Å; angles 90.00, 90.00, 90.00 degrees
Fractional positions:
Pr1 0.000 0.000 0.000
Pr2 0.000 0.500 0.000
Pr3 0.000 0.500 0.500
Pr4 0.250 0.250 0.252
Pr5 0.250 0.250 0.748
Pr6 0.250 0.750 0.252
Pr7 0.250 0.750 0.748
Pr8 0.500 0.000 0.000
Pr9 0.500 0.000 0.500
Pr10 0.500 0.500 0.000
Pr11 0.750 0.250 0.252
Pr12 0.750 0.250 0.748
Pr13 0.750 0.750 0.252
Pr14 0.750 0.750 0.748
Y1 0.000 0.000 0.500
Ho1 0.500 0.500 0.500

=====

[5]
In3IrBr after structural relaxation, computed with PBE.

Summary:
As for the formation energy without anion corrections: 6.0 kJ per mole of atoms. Its space group is Amm2. For the volume, the calculation gives 38.8 Å³/atom. The distance to the lowest polymorph of the same formula is 439 meV per atom. The total energy comes out at -3.6879 eV/atom.

Cell lengths 3.441, 8.916, 8.916 Å; angles 45.22, 90.00, 90.00 degrees
Fractional positions:
In1 0.000 0.000 0.000
In2 0.500 0.105 0.528
In3 0.500 0.528 0.105
Ir1 0.000 0.845 0.845
Br1 0.500 0.139 0.139

=====

[6]
LiHg4Ru after structural relaxation, computed with PBE.

Summary:
Its space group is F-43m. The value obtained for the formation energy is 0.531 eV per atom. For the volume, the calculation gives 21.8 Å³/atom. The total energy comes out at -1.5347 eV/atom.

Cell lengths 5.698, 5.698, 5.698 Å; angles 60.00, 60.00, 60.00 degrees
Fractional positions:
Li1 0.000 0.000 0.000
Hg1 0.375 0.375 0.375
Hg2 0.375 0.375 0.874
Hg3 0.375 0.874 0.375
Hg4 0.874 0.375 0.375
Ru1 0.750 0.750 0.750

=====

[7]
BaTlCl5 after structural relaxation, computed with PBE.

Summary:
As for the formation energy without anion corrections: -134.8 kJ per mole of atoms. Its space group is C2/c. For the volume, the calculation gives 42.3 Å³/atom. The total energy comes out at -3.3290 eV/atom.

Cell lengths 7.711, 7.711, 11.447 Å; angles 111.20, 111.20, 82.93 degrees
Fractional positions:
Ba1 0.000 0.000 0.000
Ba2 0.000 0.000 0.500
Tl1 0.429 0.571 0.750
Tl2 0.571 0.429 0.250
Cl1 0.076 0.924 0.250
Cl2 0.233 0.375 0.180
Cl3 0.260 0.659 0.550
Cl4 0.341 0.740 0.950
Cl5 0.375 0.233 0.680
Cl6 0.625 0.767 0.320
Cl7 0.659 0.260 0.050
Cl8 0.740 0.341 0.450
Cl9 0.767 0.625 0.820
Cl10 0.924 0.076 0.750

=====

[8]
Rb5NaH6 after structural relaxation, computed with PBE.

Summary:
Its space group is C2/m. For the volume, the calculation gives 24.6 Å³/atom. The total energy comes out at -2.3347 eV/atom.

Cell lengths 7.149, 7.149, 7.100 Å; angles 99.50, 99.50, 120.26 degrees
Fractional positions:
Rb1 0.000 0.000 0.000
Rb2 0.168 0.832 0.500
Rb3 0.336 0.664 0.000
Rb4 0.664 0.336 0.000
Rb5 0.832 0.168 0.500
Na1 0.500 0.500 0.500
H1 0.108 0.419 0.260
H2 0.275 0.275 0.727
H3 0.419 0.108 0.260
H4 0.581 0.892 0.740
H5 0.725 0.725 0.273
H6 0.892 0.581 0.740

=====

The lowest volume belongs to which entry? SmTiCo2

=====

volume of number 1 (SmTiCo2)? 16.2 Å³/atom

=====

volume of number 6 (LiHg4Ru)? 21.8 Å³/atom

=====

volume of number 2 (ZrIn2Fe2)? 17.0 Å³/atom